# 1
Computed, not measured: a relaxed structure of TcIrW3 at the PBE level of DFT.

Geometry as CIF:
```
data_TcIrW3
_symmetry_space_group_name_H-M 'P m -3 m'
_symmetry_Int_Tables_number 221
_symmetry_space_group_name_Hall '-P 4 2 3'
_cell_length_a 4.6120
_cell_length_b 4.6120
_cell_length_c 4.6120
_cell_angle_alpha 90.00
_cell_angle_beta 90.00
_cell_angle_gamma 90.00
loop_
_atom_site_label
_atom_site_type_symbol
_atom_site_fract_x
_atom_site_fract_y
_atom_site_fract_z
_atom_site_occupancy
Tc1 Tc 0.0000 0.0000 0.0000 1
Ir1 Ir 0.5000 0.5000 0.5000 1
W1 W 0.0000 0.0000 0.5000 1
```

Summary:
M_tot ... 0.0 μB per cell
DFT formation energy ... 2038 meV/atom
Energy above the most stable polymorph in this dataset ... 0 meV/atom
DOS at the Fermi energy ... 0.97 states/eV/atom
Total DFT energy (no corrections) ... -47.90 eV for the cell shown

# 2
Computed, not measured: a relaxed structure of Y3Cd2In2 at the PBE level of DFT.

Geometry as CIF:
```
data_Y3Cd2In2
_symmetry_space_group_name_H-M 'P -1'
_symmetry_Int_Tables_number 2
_symmetry_space_group_name_Hall '-P 1'
_cell_length_a 5.0196
_cell_length_b 5.0485
_cell_length_c 8.9348
_cell_angle_alpha 106.01
_cell_angle_beta 90.15
_cell_angle_gamma 119.68
loop_
_atom_site_label
_atom_site_type_symbol
_atom_site_fract_x
_atom_site_fract_y
_atom_site_fract_z
_atom_site_occupancy
Y1 Y 0.0000 0.0000 0.0000 1
Y2 Y 0.4314 0.8641 0.2937 1
Cd1 Cd 0.1567 0.3133 0.4702 1
In1 In 0.2896 0.5776 0.8685 1
```

Summary:
M_tot ... 0.0 μB per cell
DFT formation energy ... -362 meV/atom
DOS at the Fermi energy ... 0.89 states/eV/atom
Total DFT energy (no corrections) ... -29.23 eV for the cell shown

# 3
Computed, not measured: a relaxed structure of Nd4CdRu at the PBE level of DFT.

Geometry as CIF:
```
data_Nd4CdRu
_symmetry_space_group_name_H-M 'F -4 3 m'
_symmetry_Int_Tables_number 216
_symmetry_space_group_name_Hall 'F -4 2 3'
_cell_length_a 14.0347
_cell_length_b 14.0347
_cell_length_c 14.0347
_cell_angle_alpha 90.00
_cell_angle_beta 90.00
_cell_angle_gamma 90.00
loop_
_atom_site_label
_atom_site_type_symbol
_atom_site_fract_x
_atom_site_fract_y
_atom_site_fract_z
_atom_site_occupancy
Nd1 Nd 0.0000 0.0000 0.1889 1
Nd2 Nd 0.0595 0.2500 0.7500 1
Nd3 Nd 0.0961 0.0961 0.4039 1
Cd1 Cd 0.1706 0.1706 0.1706 1
Ru1 Ru 0.1122 0.1122 0.6122 1
```

Summary:
M_tot ... 0.0 μB per cell
DFT formation energy ... -265 meV/atom
Energy above the most stable polymorph in this dataset ... 0 meV/atom
DOS at the Fermi energy ... 1.08 states/eV/atom
Total DFT energy (no corrections) ... -493.68 eV for the cell shown

# 4
Computed, not measured: a relaxed structure of CdTePH at the PBE level of DFT.

Geometry as CIF:
```
data_CdTePH
_symmetry_space_group_name_H-M 'P 1 m 1'
_symmetry_Int_Tables_number 6
_symmetry_space_group_name_Hall 'P -2y'
_cell_length_a 4.4515
_cell_length_b 3.0087
_cell_length_c 7.9827
_cell_angle_alpha 90.00
_cell_angle_beta 105.97
_cell_angle_gamma 90.00
loop_
_atom_site_label
_atom_site_type_symbol
_atom_site_fract_x
_atom_site_fract_y
_atom_site_fract_z
_atom_site_occupancy
Cd1 Cd 0.0000 0.0000 0.0000 1
Te1 Te 0.2584 0.0000 0.5111 1
P1 P 0.4155 0.0000 0.8287 1
H1 H 0.0752 0.5000 0.1519 1
```

Summary:
M_tot ... 0.0 μB per cell
Energy above the most stable polymorph in this dataset ... 288 meV/atom
DOS at the Fermi energy ... 0.24 states/eV/atom
Total DFT energy (no corrections) ... -11.90 eV for the cell shown

# 5
Computed, not measured: a relaxed structure of Tb5PmEr2Sc at the PBE level of DFT.

Geometry as CIF:
```
data_Tb5PmEr2Sc
_symmetry_space_group_name_H-M 'C m c 21'
_symmetry_Int_Tables_number 36
_symmetry_space_group_name_Hall 'C 2c -2'
_cell_length_a 5.5602
_cell_length_b 19.7659
_cell_length_c 10.3836
_cell_angle_alpha 90.00
_cell_angle_beta 90.00
_cell_angle_gamma 90.00
loop_
_atom_site_label
_atom_site_type_symbol
_atom_site_fract_x
_atom_site_fract_y
_atom_site_fract_z
_atom_site_occupancy
Tb1 Tb 0.0000 0.0182 0.0000 1
Tb2 Tb 0.0000 0.2771 0.3025 1
Tb3 Tb 0.0000 0.2987 0.6872 1
Tb4 Tb 0.0000 0.3771 0.0021 1
Tb5 Tb 0.0000 0.4815 0.7213 1
Pm1 Pm 0.0000 0.4121 0.4360 1
Er1 Er 0.0000 0.1120 0.2949 1
Er2 Er 0.0000 0.1139 0.7178 1
Sc1 Sc 0.0000 0.1956 0.9962 1
```

Summary:
M_tot ... 0.0 μB per cell
DFT formation energy ... 169 meV/atom
DOS at the Fermi energy ... 1.63 states/eV/atom
Total DFT energy (no corrections) ... -167.34 eV for the cell shown

# 6
Computed, not measured: a relaxed structure of IrPb2O6 at the PBE level of DFT.

Geometry as CIF:
```
data_IrPb2O6
_symmetry_space_group_name_H-M 'P 42/m n m'
_symmetry_Int_Tables_number 136
_symmetry_space_group_name_Hall '-P 4n 2n'
_cell_length_a 4.9691
_cell_length_b 4.9691
_cell_length_c 10.2059
_cell_angle_alpha 90.00
_cell_angle_beta 90.00
_cell_angle_gamma 90.00
loop_
_atom_site_label
_atom_site_type_symbol
_atom_site_fract_x
_atom_site_fract_y
_atom_site_fract_z
_atom_site_occupancy
Ir1 Ir 0.0000 0.0000 0.0000 1
Pb1 Pb 0.0000 0.0000 0.3334 1
O1 O 0.1809 0.1809 0.1493 1
O2 O 0.2210 0.2210 0.5000 1
```

Summary:
M_tot ... 2.2 μB per cell
Energy above the most stable polymorph in this dataset ... 45 meV/atom
DOS at the Fermi energy ... 0.41 states/eV/atom
Uncorrected formation energy ... -0.82 eV per atom
Total DFT energy (no corrections) ... -106.79 eV for the cell shown